# LaNb2Co PBE optimized geometry
# total magnetization: 0.0 Bohr magnetons per cell
# energy above the lowest structure with this stoichiometry: 0 meV per atom
# E_form: 0.45 eV/atom
data_LaNb2Co
_chemical_formula_sum 'La4 Nb8 Co4'
_symmetry_space_group_name_H-M 'F m -3 m'
_symmetry_Int_Tables_number 225
_symmetry_space_group_name_Hall '-F 4 2 3'
_cell_length_a 6.590
_cell_length_b 6.590
_cell_length_c 6.590
_cell_angle_alpha 90.00
_cell_angle_beta 90.00
_cell_angle_gamma 90.00
loop_
_atom_site_label
_atom_site_type_symbol
_atom_site_fract_x
_atom_site_fract_y
_atom_site_fract_z
La1 La 0.000 0.000 0.000
Nb1 Nb 0.250 0.250 0.250
Co1 Co 0.000 0.000 0.500